Entry 1:
Material: MgTaAl2
Method: DFT, SCAN
State: PBEsol geometry

Lattice parameters (Å, degrees): 3.864 3.864 5.271 111.50 111.50 90.00
Element x y z (fractional)
Al 0.000 0.000 0.000
Al 0.750 0.250 0.500
Mg 0.500 0.500 0.000
Ta 0.250 0.750 0.500

Computed properties:
Volume ... 67.3 Å³ per cell
Space-group type ... I-4m2, No. 119
Energy of formation from the pure elements ... -0.054 eV per atom

---

Entry 2:
Material: PtSe2F2
Method: DFT, SCAN
State: PBEsol geometry

Lattice parameters (Å, degrees): 4.119 6.192 6.192 90.00 90.00 90.00
Element x y z (fractional)
Se 0.000 0.367 0.867
Se 0.000 0.867 0.633
Se 0.000 0.633 0.133
Se 0.000 0.133 0.367
Pt 0.000 0.000 0.000
Pt 0.000 0.500 0.500
F 0.500 0.237 0.737
F 0.500 0.737 0.763
F 0.500 0.763 0.263
F 0.500 0.263 0.237

Computed properties:
Volume ... 157.9 Å³ per cell
Space-group type ... P4/mbm, No. 127
Raw formation energy ... -425 meV/atom

---

Entry 3:
Material: SrIn5
Method: DFT, SCAN
State: PBEsol geometry

Lattice parameters (Å, degrees): 5.216 6.137 6.137 120.00 90.00 90.00
Element x y z (fractional)
In 0.000 0.667 0.333
In 0.000 0.333 0.667
In 0.500 0.500 0.500
In 0.500 0.000 0.500
In 0.500 0.500 0.000
Sr 0.000 0.000 0.000

Computed properties:
Volume ... 170.1 Å³ per cell
Space-group type ... P6/mmm, No. 191
Energy of formation from the pure elements ... -0.198 eV per atom

---

Entry 4:
Material: CdGeO3
Method: DFT, SCAN
State: PBEsol geometry

Lattice parameters (Å, degrees): 5.130 5.130 5.812 63.81 63.81 60.00
Element x y z (fractional)
Cd 0.633 0.633 0.101
Cd 0.367 0.367 0.899
Ge 0.841 0.841 0.478
Ge 0.159 0.159 0.522
O 0.811 0.439 0.715
O 0.439 0.034 0.715
O 0.034 0.811 0.715
O 0.189 0.561 0.285
O 0.966 0.189 0.285
O 0.561 0.966 0.285

Computed properties:
Volume ... 114.0 Å³ per cell
Space-group type ... R-3, No. 148
Raw formation energy ... -1610 meV/atom

---

Entry 5:
Material: Zn7Ag6
Method: DFT, SCAN
State: PBEsol geometry

Lattice parameters (Å, degrees): 5.008 5.008 9.405 74.56 74.56 60.00
Element x y z (fractional)
Ag 0.951 0.951 0.147
Ag 0.049 0.049 0.853
Ag 0.846 0.846 0.462
Ag 0.154 0.154 0.538
Ag 0.667 0.667 0.999
Ag 0.333 0.333 0.001
Zn 0.410 0.410 0.266
Zn 0.914 0.410 0.266
Zn 0.410 0.914 0.266
Zn 0.590 0.590 0.734
Zn 0.590 0.086 0.734
Zn 0.086 0.590 0.734
Zn 0.500 0.500 0.500

Computed properties:
Volume ... 194.4 Å³ per cell
Space-group type ... R-3m, No. 166
Energy of formation from the pure elements ... -0.050 eV per atom

---

Entry 6:
Material: FeTeRu2
Method: DFT, SCAN
State: PBEsol geometry

Lattice parameters (Å, degrees): 3.030 3.030 6.408 90.00 90.00 90.00
Element x y z (fractional)
Fe 0.500 0.500 0.761
Ru 0.000 0.000 0.987
Ru 0.500 0.500 0.242
Te 0.000 0.000 0.509

Computed properties:
Volume ... 58.8 Å³ per cell
Space-group type ... P4mm, No. 99
Raw formation energy ... 432 meV/atom

---

Entry 7:
Material: Sr2CrNi
Method: DFT, SCAN
State: PBEsol geometry

Lattice parameters (Å, degrees): 4.190 4.639 7.480 108.07 124.06 90.00
Element x y z (fractional)
Cr 0.530 0.578 0.155
Ni 0.216 0.671 0.341
Sr 0.842 0.983 0.967
Sr 0.912 0.268 0.536

Computed properties:
Volume ... 111.7 Å³ per cell
Space-group type ... Amm2, No. 38
Energy of formation from the pure elements ... 0.233 eV per atom

---

Entry 8:
Material: Sb2MoCI
Method: DFT, SCAN
State: PBEsol geometry

Lattice parameters (Å, degrees): 4.674 4.674 4.566 90.00 90.00 90.00
Element x y z (fractional)
I 0.000 0.000 0.500
Sb 0.000 0.500 0.000
Sb 0.500 0.000 0.000
Mo 0.500 0.500 0.500
C 0.000 0.000 0.000

Computed properties:
Volume ... 99.8 Å³ per cell
Space-group type ... P4/mmm, No. 123
Raw formation energy ... 1605 meV/atom

---

Entry 9:
Material: LiAsOs2
Method: DFT, SCAN
State: PBEsol geometry

Lattice parameters (Å, degrees): 2.741 2.741 8.854 90.00 90.00 118.30
Element x y z (fractional)
As 0.000 0.000 0.506
Li 0.500 0.500 0.248
Os 0.000 0.000 0.998
Os 0.500 0.500 0.748

Computed properties:
Volume ... 58.6 Å³ per cell
Space-group type ... Cmm2, No. 35
Energy of formation from the pure elements ... 0.414 eV per atom

---

Entry 10:
Material: Cs2BI
Method: DFT, SCAN
State: PBEsol geometry

Lattice parameters (Å, degrees): 6.159 6.159 6.159 60.00 60.00 60.00
Element x y z (fractional)
Cs 0.250 0.250 0.250
Cs 0.750 0.750 0.750
I 0.500 0.500 0.500
B 0.000 0.000 0.000

Computed properties:
Volume ... 165.2 Å³ per cell
Space-group type ... Fm-3m, No. 225
Raw formation energy ... 215 meV/atom

---

Entry 11:
Material: BaIn2Pt
Method: DFT, SCAN
State: PBEsol geometry

Lattice parameters (Å, degrees): 4.669 4.669 6.536 69.07 69.07 60.00
Element x y z (fractional)
Ba 0.243 0.243 0.271
Pt 0.426 0.426 0.723
In 0.038 0.038 0.885
In 0.784 0.784 0.647

Computed properties:
Volume ... 112.4 Å³ per cell
Space-group type ... R3m, No. 160
Energy of formation from the pure elements ... -0.693 eV per atom

---

Entry 12:
Material: KBaVO4
Method: DFT, SCAN
State: PBEsol geometry

Lattice parameters (Å, degrees): 5.858 7.748 10.367 90.00 90.00 90.00
Element x y z (fractional)
K 0.750 0.661 0.076
K 0.250 0.339 0.924
K 0.750 0.161 0.424
K 0.250 0.839 0.576
Ba 0.750 0.993 0.806
Ba 0.250 0.007 0.194
Ba 0.750 0.493 0.694
Ba 0.250 0.507 0.306
V 0.750 0.230 0.082
V 0.250 0.770 0.918
V 0.750 0.730 0.418
V 0.250 0.270 0.582
O 0.009 0.701 0.840
O 0.509 0.299 0.160
O 0.491 0.201 0.660
O 0.991 0.799 0.340
O 0.991 0.299 0.160
O 0.491 0.701 0.840
O 0.509 0.799 0.340
O 0.009 0.201 0.660
O 0.750 0.308 0.926
O 0.250 0.692 0.074
O 0.750 0.808 0.574
O 0.250 0.192 0.426
O 0.250 0.490 0.576
O 0.750 0.510 0.424
O 0.250 0.990 0.924
O 0.750 0.010 0.076

Computed properties:
Volume ... 470.6 Å³ per cell
Space-group type ... Pnma, No. 62
Raw formation energy ... -2878 meV/atom

---

Entry 13:
Material: LaTaSb2
Method: DFT, SCAN
State: PBEsol geometry

Lattice parameters (Å, degrees): 4.206 4.206 7.326 73.32 73.32 60.00
Element x y z (fractional)
La 0.000 0.000 0.000
Sb 0.763 0.763 0.710
Sb 0.237 0.237 0.290
Ta 0.500 0.500 0.500

Computed properties:
Volume ... 105.9 Å³ per cell
Space-group type ... R-3m, No. 166
Raw formation energy ... -443 meV/atom

---

Entry 14:
Material: AlMo3S
Method: DFT, SCAN
State: PBEsol geometry

Lattice parameters (Å, degrees): 4.518 4.518 4.518 90.00 90.00 90.00
Element x y z (fractional)
Mo 0.000 0.500 0.000
Mo 0.000 0.000 0.500
Mo 0.500 0.000 0.000
S 0.500 0.500 0.500
Al 0.000 0.000 0.000

Computed properties:
Volume ... 92.2 Å³ per cell
Space-group type ... Pm-3m, No. 221
Raw formation energy ... 1899 meV/atom

---

Entry 15:
Material: Tc3P
Method: DFT, SCAN
State: PBEsol geometry

Lattice parameters (Å, degrees): 5.115 5.607 7.504 90.00 90.00 90.00
Element x y z (fractional)
P 0.559 0.880 0.750
P 0.059 0.620 0.250
P 0.941 0.380 0.750
P 0.441 0.120 0.250
Tc 0.135 0.007 0.750
Tc 0.635 0.493 0.250
Tc 0.365 0.507 0.750
Tc 0.865 0.993 0.250
Tc 0.653 0.194 0.945
Tc 0.153 0.306 0.055
Tc 0.847 0.694 0.555
Tc 0.347 0.806 0.445
Tc 0.347 0.806 0.055
Tc 0.847 0.694 0.945
Tc 0.153 0.306 0.445
Tc 0.653 0.194 0.555

Computed properties:
Volume ... 215.2 Å³ per cell
Space-group type ... Pnma, No. 62
Energy of formation from the pure elements ... -0.297 eV per atom

---

Entry 16:
Material: AlIN2F
Method: DFT, SCAN
State: PBEsol geometry

Lattice parameters (Å, degrees): 4.314 4.689 4.689 90.00 90.00 90.00
Element x y z (fractional)
I 0.500 0.000 0.000
N 0.000 0.000 0.500
N 0.000 0.500 0.000
Al 0.500 0.500 0.500
F 0.000 0.000 0.000

Computed properties:
Volume ... 94.8 Å³ per cell
Space-group type ... P4/mmm, No. 123
Raw formation energy ... 1796 meV/atom

---

Entry 17:
Material: Al2InSe
Method: DFT, SCAN
State: PBEsol geometry

Lattice parameters (Å, degrees): 4.146 4.146 5.671 111.44 111.44 90.00
Element x y z (fractional)
Al 0.750 0.250 0.500
Al 0.250 0.750 0.500
Se 0.000 0.000 0.000
In 0.500 0.500 0.000

Computed properties:
Volume ... 83.4 Å³ per cell
Space-group type ... I4/mmm, No. 139
Raw formation energy ... 178 meV/atom

---

Entry 18:
Material: KSeI3
Method: DFT, SCAN
State: PBEsol geometry

Lattice parameters (Å, degrees): 5.772 5.772 5.772 90.00 90.00 90.00
Element x y z (fractional)
I 0.000 0.500 0.000
I 0.000 0.000 0.500
I 0.500 0.000 0.000
K 0.500 0.500 0.500
Se 0.000 0.000 0.000

Computed properties:
Volume ... 192.3 Å³ per cell
Space-group type ... Pm-3m, No. 221
Raw formation energy ... -587 meV/atom

---

Entry 19:
Material: Be3WAu
Method: DFT, SCAN
State: PBEsol geometry

Lattice parameters (Å, degrees): 4.237 4.237 4.237 90.00 90.00 90.00
Element x y z (fractional)
Be 0.000 0.500 0.000
Be 0.000 0.000 0.500
Be 0.500 0.000 0.000
Au 0.500 0.500 0.500
W 0.000 0.000 0.000

Computed properties:
Volume ... 76.1 Å³ per cell
Space-group type ... Pm-3m, No. 221
Energy of formation from the pure elements ... 1.545 eV per atom

---

Entry 20:
Material: Ta2CuSi
Method: DFT, SCAN
State: PBEsol geometry

Lattice parameters (Å, degrees): 3.881 4.025 4.705 115.32 114.36 90.00
Element x y z (fractional)
Cu 0.500 0.000 0.000
Si 0.000 0.500 0.000
Ta 0.747 0.747 0.495
Ta 0.253 0.253 0.505

Computed properties:
Volume ... 59.1 Å³ per cell
Space-group type ... Immm, No. 71
Raw formation energy ... -159 meV/atom